Entry 1:
# Ce2SmP (GGA-PBE, optimized geometry)
data_Ce2SmP
_symmetry_space_group_name_H-M 'P 1'
_symmetry_Int_Tables_number 1
_cell_length_a 9.5890
_cell_length_b 9.5890
_cell_length_c 9.5890
_cell_angle_alpha 22.93
_cell_angle_beta 22.93
_cell_angle_gamma 22.93
loop_
_symmetry_equiv_pos_as_xyz
'x,y,z'
loop_
_atom_site_label
_atom_site_type_symbol
_atom_site_fract_x
_atom_site_fract_y
_atom_site_fract_z
_atom_site_occupancy
Ce1 Ce 0.0000 0.0000 0.0000 1
Ce2 Ce 0.2093 0.2093 0.2093 1
Sm1 Sm 0.7706 0.7706 0.7706 1
P1 P 0.6046 0.6046 0.6046 1
# ρ, g cm⁻³: 6.53
# Distance to the lowest polymorph of the same formula, meV/atom: 0
# Energy of formation, meV per atom: -570.9
# Magnetic moment, μB/f.u.: 0.2

Entry 2:
# Ce3Sm2P4 (GGA-PBE, optimized geometry)
data_Ce3Sm2P4
_symmetry_space_group_name_H-M 'P 1'
_symmetry_Int_Tables_number 1
_cell_length_a 7.0707
_cell_length_b 7.0707
_cell_length_c 10.0183
_cell_angle_alpha 118.59
_cell_angle_beta 118.59
_cell_angle_gamma 33.42
loop_
_symmetry_equiv_pos_as_xyz
'x,y,z'
loop_
_atom_site_label
_atom_site_type_symbol
_atom_site_fract_x
_atom_site_fract_y
_atom_site_fract_z
_atom_site_occupancy
Ce1 Ce 0.0000 0.0000 0.0000 1
Ce2 Ce 0.2015 0.2015 0.8028 1
Ce3 Ce 0.7985 0.7985 0.1972 1
Sm1 Sm 0.3963 0.3963 0.6057 1
Sm2 Sm 0.6037 0.6037 0.3943 1
P1 P 0.2021 0.2021 0.3017 1
P2 P 0.3991 0.3991 0.0995 1
P3 P 0.6009 0.6009 0.9005 1
P4 P 0.7979 0.7979 0.6983 1
# ρ, g cm⁻³: 5.87
# Energy of formation, meV per atom: -1317.7
# Magnetic moment, μB/f.u.: 2.3

Entry 3:
# Ce5Sm3P8 (GGA-PBE, optimized geometry)
data_Ce5Sm3P8
_symmetry_space_group_name_H-M 'P 1'
_symmetry_Int_Tables_number 1
_cell_length_a 8.1892
_cell_length_b 8.1892
_cell_length_c 8.1892
_cell_angle_alpha 60.02
_cell_angle_beta 60.02
_cell_angle_gamma 60.02
loop_
_symmetry_equiv_pos_as_xyz
'x,y,z'
loop_
_atom_site_label
_atom_site_type_symbol
_atom_site_fract_x
_atom_site_fract_y
_atom_site_fract_z
_atom_site_occupancy
Ce1 Ce 0.0000 0.0000 0.0000 1
Ce2 Ce 0.0000 0.5000 0.5000 1
Ce3 Ce 0.5000 0.0000 0.5000 1
Ce4 Ce 0.5000 0.5000 0.0000 1
Ce5 Ce 0.5000 0.5000 0.5000 1
Sm1 Sm 0.0000 0.0000 0.5000 1
Sm2 Sm 0.0000 0.5000 0.0000 1
Sm3 Sm 0.5000 0.0000 0.0000 1
P1 P 0.2500 0.2500 0.7477 1
P2 P 0.2500 0.7477 0.2500 1
P3 P 0.2515 0.2515 0.2515 1
P4 P 0.2523 0.7500 0.7500 1
P5 P 0.7477 0.2500 0.2500 1
P6 P 0.7485 0.7485 0.7485 1
P7 P 0.7500 0.2523 0.7500 1
P8 P 0.7500 0.7500 0.2523 1
# ρ, g cm⁻³: 5.98
# Energy of formation, meV per atom: -1530.6
# Magnetic moment, μB/f.u.: 2.6

Entry 4:
# CeSm2P (GGA-PBE, optimized geometry)
data_CeSm2P
_symmetry_space_group_name_H-M 'P 1'
_symmetry_Int_Tables_number 1
_cell_length_a 9.6881
_cell_length_b 9.6881
_cell_length_c 9.6881
_cell_angle_alpha 22.96
_cell_angle_beta 22.96
_cell_angle_gamma 22.96
loop_
_symmetry_equiv_pos_as_xyz
'x,y,z'
loop_
_atom_site_label
_atom_site_type_symbol
_atom_site_fract_x
_atom_site_fract_y
_atom_site_fract_z
_atom_site_occupancy
Ce1 Ce 0.0000 0.0000 0.0000 1
Sm1 Sm 0.2267 0.2267 0.2267 1
Sm2 Sm 0.7733 0.7733 0.7733 1
P1 P 0.5000 0.5000 0.5000 1
# ρ, g cm⁻³: 6.45
# Energy of formation, meV per atom: -585.9
# Magnetic moment, μB/f.u.: 1.5

Entry 5:
# CeSm3P4 (GGA-PBE, optimized geometry)
data_CeSm3P4
_symmetry_space_group_name_H-M 'P 1'
_symmetry_Int_Tables_number 1
_cell_length_a 5.8062
_cell_length_b 5.8062
_cell_length_c 5.8062
_cell_angle_alpha 90.00
_cell_angle_beta 90.00
_cell_angle_gamma 90.00
loop_
_symmetry_equiv_pos_as_xyz
'x,y,z'
loop_
_atom_site_label
_atom_site_type_symbol
_atom_site_fract_x
_atom_site_fract_y
_atom_site_fract_z
_atom_site_occupancy
Ce1 Ce 0.0000 0.0000 0.0000 1
Sm1 Sm 0.0000 0.5000 0.5000 1
Sm2 Sm 0.5000 0.0000 0.5000 1
Sm3 Sm 0.5000 0.5000 0.0000 1
P1 P 0.0000 0.0000 0.5000 1
P2 P 0.0000 0.5000 0.0000 1
P3 P 0.5000 0.0000 0.0000 1
P4 P 0.5000 0.5000 0.5000 1
# ρ, g cm⁻³: 6.07
# Distance to the lowest polymorph of the same formula, meV/atom: 8
# Energy of formation, meV per atom: -1554.6
# Magnetic moment, μB/f.u.: 0.7

Entry 6:
# Ce4SmP6 (GGA-PBE, optimized geometry)
data_Ce4SmP6
_symmetry_space_group_name_H-M 'P 1'
_symmetry_Int_Tables_number 1
_cell_length_a 7.9955
_cell_length_b 7.9955
_cell_length_c 7.9955
_cell_angle_alpha 88.72
_cell_angle_beta 88.72
_cell_angle_gamma 88.72
loop_
_symmetry_equiv_pos_as_xyz
'x,y,z'
loop_
_atom_site_label
_atom_site_type_symbol
_atom_site_fract_x
_atom_site_fract_y
_atom_site_fract_z
_atom_site_occupancy
Ce1 Ce 0.1311 0.7500 0.3689 1
Ce2 Ce 0.2500 0.2500 0.2500 1
Ce3 Ce 0.2500 0.6311 0.8689 1
Ce4 Ce 0.3689 0.1311 0.7500 1
Ce5 Ce 0.6311 0.8689 0.2500 1
Ce6 Ce 0.7500 0.3689 0.1311 1
Ce7 Ce 0.7500 0.7500 0.7500 1
Ce8 Ce 0.8689 0.2500 0.6311 1
Sm1 Sm 0.0000 0.0000 0.0000 1
Sm2 Sm 0.5000 0.5000 0.5000 1
P1 P 0.0685 0.9128 0.6742 1
P2 P 0.0872 0.3258 0.9315 1
P3 P 0.1742 0.4128 0.5685 1
P4 P 0.3258 0.9315 0.0872 1
P5 P 0.4128 0.5685 0.1742 1
P6 P 0.4315 0.8258 0.5872 1
P7 P 0.5685 0.1742 0.4128 1
P8 P 0.5872 0.4315 0.8258 1
P9 P 0.6742 0.0685 0.9128 1
P10 P 0.8258 0.5872 0.4315 1
P11 P 0.9128 0.6742 0.0685 1
P12 P 0.9315 0.0872 0.3258 1
# ρ, g cm⁻³: 5.83
# Energy of formation, meV per atom: -1196.5
# Magnetic moment, μB/f.u.: 1.3

Entry 7:
# Ce5SmP6 (GGA-PBE, optimized geometry)
data_Ce5SmP6
_symmetry_space_group_name_H-M 'P 1'
_symmetry_Int_Tables_number 1
_cell_length_a 7.0901
_cell_length_b 7.0901
_cell_length_c 7.0894
_cell_angle_alpha 99.60
_cell_angle_beta 99.60
_cell_angle_gamma 120.00
loop_
_symmetry_equiv_pos_as_xyz
'x,y,z'
loop_
_atom_site_label
_atom_site_type_symbol
_atom_site_fract_x
_atom_site_fract_y
_atom_site_fract_z
_atom_site_occupancy
Ce1 Ce 0.0000 0.0000 0.0000 1
Ce2 Ce 0.1667 0.8333 0.5000 1
Ce3 Ce 0.3337 0.6663 0.0000 1
Ce4 Ce 0.6663 0.3337 0.0000 1
Ce5 Ce 0.8333 0.1667 0.5000 1
Sm1 Sm 0.5000 0.5000 0.5000 1
P1 P 0.0811 0.4164 0.2492 1
P2 P 0.2484 0.2484 0.7512 1
P3 P 0.4164 0.0811 0.2492 1
P4 P 0.5836 0.9189 0.7508 1
P5 P 0.7516 0.7516 0.2488 1
P6 P 0.9189 0.5836 0.7508 1
# ρ, g cm⁻³: 5.92
# Energy of formation, meV per atom: -1511.3
# Magnetic moment, μB/f.u.: 2.9

Entry 8:
# Sr2CeSmP4 (GGA-PBE, optimized geometry)
data_Sr2CeSmP4
_symmetry_space_group_name_H-M 'P 1'
_symmetry_Int_Tables_number 1
_cell_length_a 7.3127
_cell_length_b 4.2186
_cell_length_c 7.3881
_cell_angle_alpha 90.00
_cell_angle_beta 109.35
_cell_angle_gamma 90.00
loop_
_symmetry_equiv_pos_as_xyz
'x,y,z'
loop_
_atom_site_label
_atom_site_type_symbol
_atom_site_fract_x
_atom_site_fract_y
_atom_site_fract_z
_atom_site_occupancy
Sr1 Sr 0.0000 0.0000 0.0000 1
Sr2 Sr 0.5000 0.5000 0.0000 1
Ce1 Ce 0.0000 0.5000 0.5000 1
Sm1 Sm 0.5000 0.0000 0.5000 1
P1 P 0.2353 0.0000 0.7201 1
P2 P 0.2547 0.5000 0.2761 1
P3 P 0.7453 0.5000 0.7239 1
P4 P 0.7647 0.0000 0.2799 1
# ρ, g cm⁻³: 4.55
# Energy of formation, meV per atom: -1216.9
# Magnetic moment, μB/f.u.: 0.0

Entry 9:
# Sr3Ce2SmP6 (GGA-PBE, optimized geometry)
data_Sr3Ce2SmP6
_symmetry_space_group_name_H-M 'P 1'
_symmetry_Int_Tables_number 1
_cell_length_a 7.3161
_cell_length_b 7.3161
_cell_length_c 7.3647
_cell_angle_alpha 99.54
_cell_angle_beta 99.54
_cell_angle_gamma 120.03
loop_
_symmetry_equiv_pos_as_xyz
'x,y,z'
loop_
_atom_site_label
_atom_site_type_symbol
_atom_site_fract_x
_atom_site_fract_y
_atom_site_fract_z
_atom_site_occupancy
Sr1 Sr 0.0000 0.0000 0.0000 1
Sr2 Sr 0.3348 0.6652 0.0000 1
Sr3 Sr 0.6652 0.3348 0.0000 1
Ce1 Ce 0.1667 0.8333 0.5000 1
Ce2 Ce 0.8333 0.1667 0.5000 1
Sm1 Sm 0.5000 0.5000 0.5000 1
P1 P 0.0874 0.4265 0.2795 1
P2 P 0.2343 0.2343 0.7203 1
P3 P 0.4265 0.0874 0.2795 1
P4 P 0.5735 0.9126 0.7205 1
P5 P 0.7657 0.7657 0.2797 1
P6 P 0.9126 0.5735 0.7205 1
# ρ, g cm⁻³: 4.53
# Energy of formation, meV per atom: -1243.0
# Magnetic moment, μB/f.u.: 0.0

Entry 10:
# SrCeSm2P4 (GGA-PBE, optimized geometry)
data_SrCeSm2P4
_symmetry_space_group_name_H-M 'P 1'
_symmetry_Int_Tables_number 1
_cell_length_a 7.1947
_cell_length_b 4.1617
_cell_length_c 7.2002
_cell_angle_alpha 90.00
_cell_angle_beta 108.99
_cell_angle_gamma 90.00
loop_
_symmetry_equiv_pos_as_xyz
'x,y,z'
loop_
_atom_site_label
_atom_site_type_symbol
_atom_site_fract_x
_atom_site_fract_y
_atom_site_fract_z
_atom_site_occupancy
Sr1 Sr 0.0000 0.0000 0.0000 1
Ce1 Ce 0.5000 0.5000 0.0000 1
Sm1 Sm 0.0000 0.5000 0.5000 1
Sm2 Sm 0.5000 0.0000 0.5000 1
P1 P 0.2598 0.0000 0.7489 1
P2 P 0.2672 0.5000 0.2567 1
P3 P 0.7328 0.5000 0.7433 1
P4 P 0.7402 0.0000 0.2511 1
# ρ, g cm⁻³: 5.31
# Energy of formation, meV per atom: -1389.5
# Magnetic moment, μB/f.u.: 0.1

Entry 11:
# TbCeSm2P4 (GGA-PBE, optimized geometry)
data_TbCeSm2P4
_symmetry_space_group_name_H-M 'P 1'
_symmetry_Int_Tables_number 1
_cell_length_a 7.0580
_cell_length_b 4.0808
_cell_length_c 7.0662
_cell_angle_alpha 90.00
_cell_angle_beta 109.39
_cell_angle_gamma 90.00
loop_
_symmetry_equiv_pos_as_xyz
'x,y,z'
loop_
_atom_site_label
_atom_site_type_symbol
_atom_site_fract_x
_atom_site_fract_y
_atom_site_fract_z
_atom_site_occupancy
Tb1 Tb 0.0000 0.0000 0.0000 1
Ce1 Ce 0.5000 0.5000 0.0000 1
Sm1 Sm 0.0000 0.5000 0.5000 1
Sm2 Sm 0.5000 0.0000 0.5000 1
P1 P 0.2489 0.5000 0.2445 1
P2 P 0.2513 0.0000 0.7546 1
P3 P 0.7487 0.0000 0.2454 1
P4 P 0.7511 0.5000 0.7555 1
# ρ, g cm⁻³: 6.26
# Energy of formation, meV per atom: -1570.7
# Magnetic moment, μB/f.u.: 0.4

Entry 12:
# Tb2CeSm3P6 (GGA-PBE, optimized geometry)
data_Tb2CeSm3P6
_symmetry_space_group_name_H-M 'P 1'
_symmetry_Int_Tables_number 1
_cell_length_a 7.0529
_cell_length_b 7.0529
_cell_length_c 7.0615
_cell_angle_alpha 99.58
_cell_angle_beta 99.58
_cell_angle_gamma 119.99
loop_
_symmetry_equiv_pos_as_xyz
'x,y,z'
loop_
_atom_site_label
_atom_site_type_symbol
_atom_site_fract_x
_atom_site_fract_y
_atom_site_fract_z
_atom_site_occupancy
Tb1 Tb 0.1665 0.8335 0.0000 1
Tb2 Tb 0.8335 0.1665 0.0000 1
Ce1 Ce 0.5000 0.5000 0.0000 1
Sm1 Sm 0.0000 0.0000 0.5000 1
Sm2 Sm 0.3331 0.6669 0.5000 1
Sm3 Sm 0.6669 0.3331 0.5000 1
P1 P 0.0865 0.4184 0.7551 1
P2 P 0.2495 0.2495 0.2441 1
P3 P 0.4184 0.0865 0.7551 1
P4 P 0.5816 0.9135 0.2449 1
P5 P 0.7505 0.7505 0.7559 1
P6 P 0.9135 0.5816 0.2449 1
# ρ, g cm⁻³: 6.34
# Energy of formation, meV per atom: -1582.0
# Magnetic moment, μB/f.u.: 0.3

- What is the formula in the seventh record?
  Ce5SmP6